No. 1
The following is a DFT calculation (GGA-PBE) of a geometry-optimized DyGaPt4 structure.

a b c (Å): 3.900 15.977 6.766
angles (deg): 90.00 90.00 90.00
Space group Cmcm (No. 63)
One atom of each set of equivalent atoms:
Dy  0.000  0.100  0.250 [4 per cell]
Ga  0.000  0.236  0.750 [4 per cell]
Pt  0.000  0.076  0.750 [4 per cell]
Pt  0.000  0.325  0.044 [8 per cell]
Pt  0.000  0.500  0.000 [4 per cell]

Energy above the lowest structure with this stoichiometry in meV/atom: 0
Crystal system: orthorhombic
VASP energy in eV/f.u.: -36.9

No. 2
The following is a DFT calculation (GGA-PBE) of a geometry-optimized Pr2Tm5In structure.

a b c (Å): 4.887 4.887 20.305
angles (deg): 90.00 90.00 90.00
Space group I4/mmm (No. 139)
One atom of each set of equivalent atoms:
Pr  0.000  0.000  0.242 [4 per cell]
Tm  0.000  0.000  0.000 [2 per cell]
Tm  0.000  0.500  0.118 [8 per cell]
In  0.000  0.000  0.500 [2 per cell]

Energy above the lowest structure with this stoichiometry in meV/atom: 0
Crystal system: tetragonal
VASP energy in eV/f.u.: -35.4

No. 3
The following is a DFT calculation (GGA-PBE) of a geometry-optimized Pr3Ge2SbRh9 structure.

a b c (Å): 6.3451 6.3451 9.2116
angles (deg): 90.00 90.00 120.00
Space group P-3m1 (No. 164)
One atom of each set of equivalent atoms:
Pr  0.0000  0.0000  0.0000 [1 per cell]
Pr  0.3333  0.6667  0.7262 [2 per cell]
Ge  0.3333  0.6667  0.1696 [2 per cell]
Sb  0.0000  0.0000  0.5000 [1 per cell]
Rh  0.0000  0.5000  0.0000 [3 per cell]
Rh  0.1419  0.2839  0.2737 [6 per cell]

Crystal system: trigonal
VASP energy in eV/f.u.: -99.8
Uncorrected formation energy in meV/atom: -397.5

No. 4
The following is a DFT calculation (GGA-PBE) of a geometry-optimized Rb2SrTc2 structure.

a b c (Å): 5.000 5.000 15.900
angles (deg): 90.00 90.00 90.00
Space group I4/mmm (No. 139)
One atom of each set of equivalent atoms:
Rb  0.000  0.500  0.250 [4 per cell]
Sr  0.000  0.000  0.000 [2 per cell]
Tc  0.000  0.000  0.435 [4 per cell]

Energy above the lowest structure with this stoichiometry in meV/atom: 0
Crystal system: tetragonal
VASP energy in eV/f.u.: -18.3

No. 5
The following is a DFT calculation (GGA-PBE) of a geometry-optimized TlPtSe structure.

a b c (Å): 5.221 5.993 8.383
angles (deg): 90.00 90.00 90.00
Space group Fmm2 (No. 42)
One atom of each set of equivalent atoms:
Tl  0.000  0.000  0.000 [4 per cell]
Pt  0.000  0.000  0.347 [4 per cell]
Se  0.000  0.000  0.658 [4 per cell]

Crystal system: orthorhombic
VASP energy in eV/f.u.: -11.1
Uncorrected formation energy in meV/atom: 249.8

No. 6
The following is a DFT calculation (GGA-PBE) of a geometry-optimized CaPu2Cl8 structure.

a b c (Å): 13.529 6.472 7.616
angles (deg): 90.00 107.80 90.00
Space group C2/m (No. 12)
One atom of each set of equivalent atoms:
Ca  0.000  0.000  0.000 [2 per cell]
Pu  0.141  0.500  0.573 [4 per cell]
Cl  0.002  0.262  0.713 [8 per cell]
Cl  0.211  0.000  0.105 [4 per cell]
Cl  0.219  0.000  0.606 [4 per cell]

Energy above the lowest structure with this stoichiometry in meV/atom: 110
Crystal system: monoclinic
VASP energy in eV/f.u.: -66.4
Uncorrected formation energy in meV/atom: -1904.0

No. 7
The following is a DFT calculation (GGA-PBE) of a geometry-optimized Tm8Pt2Rh3 structure.

a b c (Å): 9.602 13.500 4.772
angles (deg): 90.00 90.00 90.00
Space group Cmmm (No. 65)
One atom of each set of equivalent atoms:
Tm  0.000  0.122  0.000 [4 per cell]
Tm  0.000  0.376  0.000 [4 per cell]
Tm  0.250  0.123  0.500 [8 per cell]
Pt  0.000  0.249  0.500 [4 per cell]
Rh  0.000  0.500  0.500 [2 per cell]
Rh  0.248  0.500  0.000 [4 per cell]

Crystal system: orthorhombic
VASP energy in eV/f.u.: -81.4

No. 8
The following is a DFT calculation (GGA-PBE) of a geometry-optimized Cu2ReOs2 structure.

a b c (Å): 3.637 3.637 11.044
angles (deg): 90.00 90.00 90.00
Space group I4/mmm (No. 139)
One atom of each set of equivalent atoms:
Cu  0.000  0.000  0.097 [4 per cell]
Re  0.000  0.000  0.500 [2 per cell]
Os  0.000  0.500  0.250 [4 per cell]

Energy above the lowest structure with this stoichiometry in meV/atom: 502
Crystal system: tetragonal
VASP energy in eV/f.u.: -37.4